1.
{
  "formula": "In2Pt2O7",
  "functional": "GGA-PBEsol",
  "state": "optimized geometry",
  "formation_energy_uncorrected_kj_per_mol_fu": -1216,
  "lattice_angstrom": [[-5.792, 2.047, -3.486], [-3.122, -4.404, -4.555], [-6.266, -2.854, 1.577]],
  "species": ["In", "In", "In", "In", "O", "O", "O", "O", "O", "O", "O", "O", "O", "O", "O", "O", "O", "O", "Pt", "Pt", "Pt", "Pt"],
  "frac_coords": [[0.125, 0.625, 0.625], [0.625, 0.625, 0.125], [0.625, 0.625, 0.625], [0.625, 0.125, 0.625], [0.033, 0.467, 0.467], [0.783, 0.217, 0.783], [0.033, 0.467, 0.033], [0.217, 0.783, 0.783], [0.783, 0.217, 0.217], [0.783, 0.783, 0.217], [0.750, 0.750, 0.750], [0.467, 0.467, 0.033], [0.467, 0.033, 0.033], [0.217, 0.783, 0.217], [0.217, 0.217, 0.783], [0.500, 0.500, 0.500], [0.033, 0.033, 0.467], [0.467, 0.033, 0.467], [0.625, 0.125, 0.125], [0.125, 0.625, 0.125], [0.125, 0.125, 0.625], [0.125, 0.125, 0.125]]
}



2.
{
  "formula": "SrCaH3",
  "functional": "GGA-PBEsol",
  "state": "optimized geometry",
  "lattice_angstrom": [[-0.336, -4.065, -1.306], [3.668, 0.396, -2.176], [2.186, -1.289, 3.450]],
  "species": ["Sr", "H", "H", "H", "Ca"],
  "frac_coords": [[0.500, 0.500, 0.500], [0.000, 0.000, 0.500], [0.500, 0.000, 0.000], [0.000, 0.500, 0.000], [0.000, 0.000, 0.000]]
}



3.
{
  "formula": "NiHg2Te",
  "functional": "GGA-PBEsol",
  "state": "optimized geometry",
  "formation_energy_uncorrected_kj_per_mol_fu": 1,
  "lattice_angstrom": [[-2.860, -1.754, 1.393], [-1.919, -2.282, -2.076], [2.959, -7.091, 1.880]],
  "species": ["Te", "Hg", "Hg", "Ni"],
  "frac_coords": [[0.227, 0.227, 0.318], [0.764, 0.764, 0.708], [0.005, 0.005, 0.986], [0.504, 0.504, 0.488]]
}



4.
{
  "formula": "Te2Au",
  "functional": "GGA-PBEsol",
  "state": "optimized geometry",
  "formation_energy_uncorrected_kj_per_mol_fu": 9,
  "lattice_angstrom": [[-2.503, 1.405, 3.035], [3.998, -1.058, 3.787], [2.584, 6.543, -0.899]],
  "species": ["Au", "Au", "Te", "Te", "Te", "Te"],
  "frac_coords": [[0.000, 0.000, 0.000], [0.500, 0.500, 0.500], [0.500, 0.698, 0.880], [0.500, 0.302, 0.120], [0.000, 0.198, 0.620], [0.000, 0.802, 0.380]]
}



The evaluated VASP energy for the records listed, in turn: -69.24, -15.78, -10.81, -10.89 eV/f.u..
The evaluated density of states at the Fermi level for the records listed, in turn: 0.00, 1.31, 2.10, 3.57 states/eV/cell.